Compound: AlTc
Source: Alexandria via LeMat-Bulk
Functional: meta-GGA SCAN
Structure: single point on PBEsol structure

```
8
Lattice="5.624 0.000 0.000 0.000 5.624 0.000 0.000 0.000 5.624" Properties=species:S:1:pos:R:3 pbc="T T T"
Al 0.000 0.000 0.000
Al 0.000 2.812 2.812
Al 2.812 0.000 2.812
Al 2.812 2.812 0.000
Tc 1.406 1.406 1.406
Tc 1.406 4.218 4.218
Tc 4.218 1.406 4.218
Tc 4.218 4.218 1.406
```

Fermi-level density of states in states/eV/cell: 3.4
VASP energy in eV per atom: -19.854
DFT formation energy in eV per atom: 1.55
Crystal system: cubic
Relative energy among the computed polymorphs in eV per atom: 2.059

=====

Compound: LaTa2P
Source: Alexandria via LeMat-Bulk
Functional: meta-GGA SCAN
Structure: single point on PBEsol structure

```
4
Lattice="3.333 0.000 0.000 0.000 3.333 0.000 0.000 0.000 7.046" Properties=species:S:1:pos:R:3 pbc="T T T"
La 0.000 0.000 0.000
Ta 1.666 1.666 2.275
Ta 1.666 1.666 4.771
P 0.000 0.000 3.523
```

Fermi-level density of states in states/eV/cell: 2.7
VASP energy in eV per atom: -46.683
DFT formation energy in eV per atom: -0.02
Crystal system: tetragonal

=====

Compound: ScHgMo2
Source: Alexandria via LeMat-Bulk
Functional: meta-GGA SCAN
Structure: single point on PBEsol structure

```
16
Lattice="6.504 0.000 0.000 0.000 6.504 0.000 0.000 0.000 6.504" Properties=species:S:1:pos:R:3 pbc="T T T"
Sc 0.000 0.000 0.000
Sc 0.000 3.252 3.252
Sc 3.252 0.000 3.252
Sc 3.252 3.252 0.000
Hg 1.626 1.626 4.878
Hg 1.626 4.878 1.626
Hg 4.878 1.626 1.626
Hg 4.878 4.878 4.878
Mo 0.000 0.000 3.252
Mo 0.000 3.252 0.000
Mo 1.626 1.626 1.626
Mo 1.626 4.878 4.878
Mo 3.252 0.000 0.000
Mo 3.252 3.252 3.252
Mo 4.878 1.626 4.878
Mo 4.878 4.878 1.626
```

Fermi-level density of states in states/eV/cell: 13.0
VASP energy in eV per atom: -37.922
DFT formation energy in eV per atom: 0.12
Crystal system: cubic

=====

Compound: SrCaMo2
Source: Alexandria via LeMat-Bulk
Functional: meta-GGA SCAN
Structure: single point on PBEsol structure

```
8
Lattice="3.964 0.000 0.000 0.000 3.964 0.000 0.000 0.000 10.526" Properties=species:S:1:pos:R:3 pbc="T T T"
Sr 0.000 0.000 0.000
Sr 1.982 1.982 5.263
Ca 0.000 0.000 5.263
Ca 1.982 1.982 0.000
Mo 0.000 1.982 2.632
Mo 0.000 1.982 7.895
Mo 1.982 0.000 2.632
Mo 1.982 0.000 7.895
```

Fermi-level density of states in states/eV/cell: 5.6
VASP energy in eV per atom: -24.287
DFT formation energy in eV per atom: 1.14
Crystal system: tetragonal
Relative energy among the computed polymorphs in eV per atom: 0.246

=====

Compound: TlRe2Cl
Source: Alexandria via LeMat-Bulk
Functional: meta-GGA SCAN
Structure: single point on PBEsol structure

```
16
Lattice="6.385 0.000 0.000 0.000 6.385 0.000 0.000 0.000 6.385" Properties=species:S:1:pos:R:3 pbc="T T T"
Tl 0.000 0.000 0.000
Tl 0.000 3.192 3.192
Tl 3.192 0.000 3.192
Tl 3.192 3.192 0.000
Re 1.596 1.596 1.596
Re 1.596 1.596 4.789
Re 1.596 4.789 1.596
Re 1.596 4.789 4.789
Re 4.789 1.596 1.596
Re 4.789 1.596 4.789
Re 4.789 4.789 1.596
Re 4.789 4.789 4.789
Cl 0.000 0.000 3.192
Cl 0.000 3.192 0.000
Cl 3.192 0.000 0.000
Cl 3.192 3.192 3.192
```

Fermi-level density of states in states/eV/cell: 13.3
VASP energy in eV per atom: -53.816
Raw formation energy in eV per atom: 1.816
Crystal system: cubic
Relative energy among the computed polymorphs in eV per atom: 0.761

=====

Compound: GaRe3Au
Source: Alexandria via LeMat-Bulk
Functional: meta-GGA SCAN
Structure: single point on PBEsol structure

```
5
Lattice="4.774 0.000 0.000 0.000 4.774 0.000 0.000 0.000 4.774" Properties=species:S:1:pos:R:3 pbc="T T T"
Ga 0.000 0.000 0.000
Re 0.000 2.387 2.387
Re 2.387 0.000 2.387
Re 2.387 2.387 0.000
Au 2.387 2.387 2.387
```

Fermi-level density of states in states/eV/cell: 7.7
VASP energy in eV per atom: -56.765
DFT formation energy in eV per atom: 2.99
Crystal system: cubic